[1]
MnAl2Cu: optimized geometry, PBE.

Its electronic total energy is -43.40 eV/cell. As for the crystal system: orthorhombic.

The space group is Cmmm (No. 65) and the conventional cell measures 5.609, 6.779 and 2.774 Å, with angles of 90.00, 90.00 and 90.00 degrees. The inequivalent atoms are Mn at (0.000, 0.000, 0.000), Al at (0.250, 0.250, 0.500) and Cu at (0.000, 0.500, 0.000).

***

[2]
Mn2AlCu: optimized geometry, PBE.

Its electronic total energy is -26.27 eV/cell. As for the crystal system: orthorhombic.

The space group is Pmmm (No. 47) and the conventional cell measures 2.731, 3.595 and 5.308 Å, with angles of 90.00, 90.00 and 90.00 degrees. The inequivalent atoms are Mn at (0.000, 0.000, 0.246), Al at (0.500, 0.500, 0.500) and Cu at (0.500, 0.500, 0.000).

***

[3]
MnAl2Cu: optimized geometry, PBE.

Its electronic total energy is -20.98 eV/cell. As for the crystal system: tetragonal.

The space group is P4mm (No. 99) and the conventional cell measures 2.833, 2.833 and 6.967 Å, with angles of 90.00, 90.00 and 90.00 degrees. The inequivalent atoms are Mn at (0.000, 0.000, 0.000), Al at (0.000, 0.000, 0.532), Al at (0.500, 0.500, 0.233) and Cu at (0.500, 0.500, 0.760).

***

[4]
MnAl3Cu: optimized geometry, PBE.

As for the excess energy over the best structure of this formula in the dataset: 0.0000 eV/atom. Its electronic total energy is -100.72 eV/cell. As for the crystal system: orthorhombic.

The space group is Cmcm (No. 63) and the conventional cell measures 4.339, 14.572 and 4.329 Å, with angles of 90.00, 90.00 and 90.00 degrees. The inequivalent atoms are Mn at (0.000, 0.146, 0.250), Al at (0.000, 0.054, 0.750), Al at (0.000, 0.249, 0.750), Al at (0.000, 0.438, 0.750) and Cu at (0.000, 0.346, 0.250).

***

[5]
Mn2AlCu: optimized geometry, PBE.

Its electronic total energy is -52.56 eV/cell. As for the crystal system: orthorhombic.

The space group is Cmmm (No. 65) and the conventional cell measures 5.287, 7.270 and 2.721 Å, with angles of 90.00, 90.00 and 90.00 degrees. The inequivalent atoms are Mn at (0.250, 0.250, 0.000), Al at (0.000, 0.000, 0.500) and Cu at (0.000, 0.500, 0.500).

***

[6]
Mn2AlCu: optimized geometry, PBE.

Its electronic total energy is -52.20 eV/cell. As for the crystal system: orthorhombic.

The space group is Immm (No. 71) and the conventional cell measures 2.931, 4.078 and 8.359 Å, with angles of 90.00, 90.00 and 90.00 degrees. The inequivalent atoms are Mn at (0.000, 0.000, 0.249), Al at (0.000, 0.500, 0.000) and Cu at (0.000, 0.500, 0.500).

***

[7]
MnAl2Cu: optimized geometry, PBE.

Its electronic total energy is -62.23 eV/cell. As for the crystal system: trigonal.

The space group is R3m (No. 160, hexagonal axes) and the conventional cell measures 2.7616, 2.7616 and 25.5684 Å, with angles of 90.00, 90.00 and 120.00 degrees. The inequivalent atoms are Mn at (0.0000, 0.0000, 0.0000), Al at (0.0000, 0.0000, 0.5048), Al at (0.0000, 0.0000, 0.7472) and Cu at (0.0000, 0.0000, 0.2516).

***

[8]
Mn2AlCu3: optimized geometry, PBE.

Its electronic total energy is -102.40 eV/cell. As for the crystal system: trigonal.

The space group is R-3m (No. 166, hexagonal axes) and the conventional cell measures 4.8681, 4.8681 and 11.8761 Å, with angles of 90.00, 90.00 and 120.00 degrees. The inequivalent atoms are Mn at (0.0000, 0.0000, 0.1271), Al at (0.0000, 0.0000, 0.5000) and Cu at (0.0000, 0.5000, 0.0000).

***

[9]
MnAl2Cu: optimized geometry, PBE.

Its electronic total energy is -63.90 eV/cell. As for the crystal system: trigonal.

The space group is R3m (No. 160, hexagonal axes) and the conventional cell measures 2.7339, 2.7339 and 24.7914 Å, with angles of 90.00, 90.00 and 120.00 degrees. The inequivalent atoms are Mn at (0.0000, 0.0000, 0.0000), Al at (0.0000, 0.0000, 0.5846), Al at (0.0000, 0.0000, 0.7482) and Cu at (0.0000, 0.0000, 0.1655).

***

[10]
MnAl2Cu6: optimized geometry, PBE.

Its electronic total energy is -167.63 eV/cell. As for the crystal system: monoclinic.

The space group is C2/c (No. 15) and the conventional cell measures 12.069, 8.765 and 4.423 Å, with angles of 90.00, 98.64 and 90.00 degrees. The inequivalent atoms are Mn at (0.000, 0.126, 0.250), Al at (0.164, 0.369, 0.089), Cu at (0.057, 0.379, 0.533), Cu at (0.112, 0.125, 0.801) and Cu at (0.224, 0.120, 0.359).

***

[11]
MnAl3Cu: optimized geometry, PBE.

As for the excess energy over the best structure of this formula in the dataset: 0.6031 eV/atom. Its electronic total energy is -22.17 eV/cell. As for the crystal system: cubic.

The space group is Pm-3m (No. 221) and the conventional cell measures 4.528, 4.528 and 4.528 Å, with angles of 90.00, 90.00 and 90.00 degrees. The inequivalent atoms are Mn at (0.000, 0.000, 0.000), Al at (0.000, 0.500, 0.500) and Cu at (0.500, 0.500, 0.500).

***

[12]
Mn2Al2Cu: optimized geometry, PBE.

As for the excess energy over the best structure of this formula in the dataset: 0.0630 eV/atom. Its electronic total energy is -59.76 eV/cell. As for the crystal system: orthorhombic.

The space group is Cmmm (No. 65) and the conventional cell measures 2.723, 18.337 and 2.716 Å, with angles of 90.00, 90.00 and 90.00 degrees. The inequivalent atoms are Mn at (0.000, 0.192, 0.000), Al at (0.000, 0.403, 0.500) and Cu at (0.000, 0.000, 0.000).